VASP calculation (GGA-PBE) on ZrAgRh2 after structural relaxation.

a = 4.1739 Å, b = 4.1739 Å, c = 3.7694 Å
α = 90.00°, β = 90.00°, γ = 90.00°
Fractional coordinates of all 4 atoms:
Zr 0.0000 0.0000 0.0000
Ag 0.5000 0.5000 0.0000
Rh 0.0000 0.5000 0.5000
Rh 0.5000 0.0000 0.5000

Computed properties:
calculated total energy	-7.012	eV/atom
energy of formation	-0.49	eV per atom